The following is a GGA-PBE calculation of an optimized crystal structure of PrHo6Tl6, from Alexandria via LeMat-Bulk.

POSCAR file:
```
PrHo6Tl6
1.0
-0.923 -6.220 -1.298
5.102 1.839 3.438
-5.608 -1.018 8.866
Pr Ho Tl
1 6 6
direct
0.000 0.000 0.000
0.000 0.000 0.662
0.000 0.000 0.338
0.333 0.667 0.000
0.667 0.333 0.000
0.333 0.667 0.500
0.667 0.333 0.500
0.000 0.500 0.754
0.500 0.000 0.754
0.500 0.500 0.754
0.500 0.000 0.246
0.000 0.500 0.246
0.500 0.500 0.246
```

Values from the calculation:
calculated formation energy = -2.5 eV per formula unit
final energy = -3.766 eV/atom
V = 376.4 Å³/cell
total moment = 1.17 Bohr magnetons per cell
DOS(E_F) = 11.6 states/eV per cell